Entry 1:
# TmPu2Pa (GGA-PBE, optimized geometry)
data_TmPu2Pa
_space_group_name_H-M_alt 'F m -3 m'
_space_group_IT_number 225
_space_group_name_Hall '-F 4 2 3'
_cell_length_a 7.520
_cell_length_b 7.520
_cell_length_c 7.520
_cell_angle_alpha 90.00
_cell_angle_beta 90.00
_cell_angle_gamma 90.00
loop_
_atom_site_label
_atom_site_type_symbol
_atom_site_fract_x
_atom_site_fract_y
_atom_site_fract_z
_atom_site_occupancy
Tm1 Tm 0.000 0.000 0.000 1
Pu1 Pu 0.250 0.250 0.250 1
Pa1 Pa 0.000 0.000 0.500 1
# - energy of formation (meV/atom) = 268
# - energy (eV/atom) = -10.39
# - N(E_F) (states/eV/cell) = 42.125

***

Entry 2:
# TmPuPa (GGA-PBE, optimized geometry)
data_TmPuPa
_space_group_name_H-M_alt 'I 4 m m'
_space_group_IT_number 107
_space_group_name_Hall 'I 4 -2'
_cell_length_a 3.400
_cell_length_b 3.400
_cell_length_c 13.665
_cell_angle_alpha 90.00
_cell_angle_beta 90.00
_cell_angle_gamma 90.00
loop_
_atom_site_label
_atom_site_type_symbol
_atom_site_fract_x
_atom_site_fract_y
_atom_site_fract_z
_atom_site_occupancy
Tm1 Tm 0.000 0.000 0.000 1
Pu1 Pu 0.000 0.000 0.688 1
Pa1 Pa 0.000 0.000 0.331 1
# - energy of formation (meV/atom) = 115
# - energy (eV/atom) = -9.32
# - N(E_F) (states/eV/cell) = 9.540

***

Entry 3:
# Tm2PuPa (GGA-PBE, optimized geometry)
data_Tm2PuPa
_space_group_name_H-M_alt 'R -3 m'
_space_group_IT_number 166
_space_group_name_Hall '-R 3 2"'
_cell_length_a 3.2522
_cell_length_b 3.2522
_cell_length_c 35.9697
_cell_angle_alpha 90.00
_cell_angle_beta 90.00
_cell_angle_gamma 120.00
loop_
_atom_site_label
_atom_site_type_symbol
_atom_site_fract_x
_atom_site_fract_y
_atom_site_fract_z
_atom_site_occupancy
Tm1 Tm 0.0000 0.0000 0.0886 1
Pu1 Pu 0.0000 0.0000 0.5000 1
Pa1 Pa 0.0000 0.0000 0.0000 1
# - energy of formation (meV/atom) = 302
# - energy (eV/atom) = -7.89
# - N(E_F) (states/eV/cell) = 32.876

***

Entry 4:
# TmPu2Pa (GGA-PBE, optimized geometry)
data_TmPu2Pa
_space_group_name_H-M_alt 'P 4/m m m'
_space_group_IT_number 123
_space_group_name_Hall '-P 4 2'
_cell_length_a 4.780
_cell_length_b 4.780
_cell_length_c 4.533
_cell_angle_alpha 90.00
_cell_angle_beta 90.00
_cell_angle_gamma 90.00
loop_
_atom_site_label
_atom_site_type_symbol
_atom_site_fract_x
_atom_site_fract_y
_atom_site_fract_z
_atom_site_occupancy
Tm1 Tm 0.000 0.000 0.000 1
Pu1 Pu 0.000 0.500 0.500 1
Pa1 Pa 0.500 0.500 0.000 1
# - energy of formation (meV/atom) = 220
# - energy (eV/atom) = -10.44
# - N(E_F) (states/eV/cell) = 11.274

***

Entry 5:
# Tm2PuPa (GGA-PBE, optimized geometry)
data_Tm2PuPa
_space_group_name_H-M_alt 'R 3 m'
_space_group_IT_number 160
_space_group_name_Hall 'R 3 -2"'
_cell_length_a 3.3451
_cell_length_b 3.3451
_cell_length_c 34.0541
_cell_angle_alpha 90.00
_cell_angle_beta 90.00
_cell_angle_gamma 120.00
loop_
_atom_site_label
_atom_site_type_symbol
_atom_site_fract_x
_atom_site_fract_y
_atom_site_fract_z
_atom_site_occupancy
Tm1 Tm 0.0000 0.0000 0.0000 1
Tm2 Tm 0.0000 0.0000 0.1640 1
Pu1 Pu 0.0000 0.0000 0.5822 1
Pa1 Pa 0.0000 0.0000 0.7484 1
# - energy of formation (meV/atom) = 148
# - energy (eV/atom) = -8.04
# - N(E_F) (states/eV/cell) = 32.602

***

Entry 6:
# TmPu2Pa (GGA-PBE, optimized geometry)
data_TmPu2Pa
_space_group_name_H-M_alt 'R -3 m'
_space_group_IT_number 166
_space_group_name_Hall '-R 3 2"'
_cell_length_a 3.3539
_cell_length_b 3.3539
_cell_length_c 32.2924
_cell_angle_alpha 90.00
_cell_angle_beta 90.00
_cell_angle_gamma 120.00
loop_
_atom_site_label
_atom_site_type_symbol
_atom_site_fract_x
_atom_site_fract_y
_atom_site_fract_z
_atom_site_occupancy
Tm1 Tm 0.0000 0.0000 0.0000 1
Pu1 Pu 0.0000 0.0000 0.2448 1
Pa1 Pa 0.0000 0.0000 0.5000 1
# - energy of formation (meV/atom) = 145
# - energy (eV/atom) = -10.51
# - N(E_F) (states/eV/cell) = 42.607